! ScNiIrRh (GGA-PBE, optimized geometry); values from VASP
! offset from the most stable computed form: 0 meV/atom
! magnetization: 0.00 μB/f.u.
! total energy: -0.560 Ry/atom
! SG: Pmmm
&SYSTEM
  ibrav = 0, nat = 4, ntyp = 4
/
ATOMIC_SPECIES
Sc 44.96 Sc.upf
Ni 58.69 Ni.upf
Ir 192.22 Ir.upf
Rh 102.91 Rh.upf
CELL_PARAMETERS angstrom
3.7553 0.0000 0.0000
0.0000 3.9098 0.0000
0.0000 0.0000 3.9610
ATOMIC_POSITIONS angstrom
Sc 0.0000 0.0000 0.0000
Ni 0.0000 1.9549 1.9805
Ir 1.8777 0.0000 1.9805
Rh 1.8777 1.9549 0.0000